A geometry-optimized TbTh3Sc4 structure, computed with PBE.

a b c (Å): 3.7130 5.5073 11.0224
angles (deg): 90.00 90.00 90.00
Closest atoms and distances in Å follow each position.
Atoms (fractional coordinates):
Sc 0.0000 0.5000 0.7464  6 Th 3.29-3.32, 2 Tb 3.36
Sc 0.0000 0.0000 0.5000  8 Th 3.32-3.35, 2 Sc 3.71
Sc 0.0000 0.5000 0.2536  6 Th 3.29-3.32, 2 Tb 3.36
Sc 0.0000 0.0000 0.0000  4 Th 3.30, 4 Tb 3.32
Th 0.5000 0.0000 0.7525  8 Sc 3.30-3.35
Th 0.5000 0.5000 0.5000  8 Sc 3.29-3.32
Th 0.5000 0.0000 0.2475  8 Sc 3.30-3.35
Tb 0.5000 0.5000 0.0000  8 Sc 3.32-3.36, 2 Tb 3.71

* total energy: -6.480 eV/atom
* energy above the lowest structure with this stoichiometry: 0 meV/atom
* magnetization: 0.00 μB per formula unit
* space group: Pmmm
* density: 7.62 g cm⁻³
* formation energy: 0.05 eV/atom